Record 1
Below is a relaxed structure of RbBiRu2O8, with properties calculated at the PBE level.

Summary:
**Energy relative to the elements, uncorrected**: -0.9646 eV/atom
**Magnetic moment**: 3.792 μB/cell

Structure (POSCAR):
```
RbBiRu2O8
1.0
2.737 1.580 8.911
-2.737 1.580 8.911
0.000 -3.160 8.911
Rb Bi Ru O
1 1 2 8
Cartesian
0.000 0.000 0.000 Rb
0.000 0.000 13.367 Bi
0.000 0.000 6.600 Ru
0.000 0.000 20.134 Ru
-1.051 -1.495 11.876 O
-0.769 -1.657 14.858 O
0.000 0.000 8.355 O
-0.769 1.657 11.876 O
-1.051 1.495 14.858 O
0.000 0.000 18.379 O
1.820 -0.163 11.876 O
1.820 0.163 14.858 O
```


Record 2
Below is a relaxed structure of Rb2BiRuO6, with properties calculated at the PBE level.

Summary:
**Energy relative to the elements, uncorrected**: -1.0904 eV/atom
**Magnetic moment**: 1.023 μB/cell

Structure (POSCAR):
```
Rb2BiRuO6
1.0
0.000 4.280 4.280
4.280 0.000 4.280
4.280 4.280 0.000
Rb Bi Ru O
2 1 1 6
Cartesian
2.140 2.140 2.140 Rb
6.420 6.420 6.420 Rb
0.000 0.000 0.000 Bi
4.280 4.280 4.280 Ru
4.280 4.280 2.357 O
4.280 2.357 4.280 O
6.203 4.280 4.280 O
2.357 4.280 4.280 O
4.280 6.203 4.280 O
4.280 4.280 6.203 O
```